LiNi2P: relaxed, PBE.

Output
DOS(E_F) in states/eV per cell: 2.5
E in eV/atom: -4.93

Unit cell a=4.5701 b=4.5701 c=2.5637 alpha=74.95 beta=74.95 gamma=111.37
Closest atoms and distances in Å follow each position.
Positions (direct):
Li: 0.0000 0.5000 0.5000  4 Ni 2.31, 2 Li 2.56, 2 P 2.58
Ni: 0.5000 0.5000 0.0000  2 P 2.31, 2 Li 2.31, 4 Ni 2.56-2.58
Ni: 0.0000 0.0000 0.0000  2 Li 2.31, 2 P 2.31, 4 Ni 2.56-2.58
P: 0.5000 0.0000 0.5000  4 Ni 2.31, 2 P 2.56, 2 Li 2.58